{
  "formula": "TiSnSe2Br",
  "functional": "PBE",
  "state": "relaxed",
  "cell": [[5.062, 0.000, 0.000], [0.000, 5.062, 0.000], [0.000, 0.000, 5.006]],
  "species": ["Ti", "Sn", "Se", "Se", "Br"],
  "frac_coords": [[0.000, 0.000, 0.000], [0.500, 0.500, 0.500], [0.000, 0.500, 0.000], [0.500, 0.000, 0.000], [0.000, 0.000, 0.500]],
  "spacegroup": "No. 123",
  "volume_a3_per_atom": 25.65,
  "final_energy_ev_per_cell": -23.00,
  "total_magnetization_mub_per_fu": 0.58
}

***

{
  "formula": "Sc3CdN",
  "functional": "PBE",
  "state": "relaxed",
  "cell": [[7.777, -1.604, 0.000], [7.777, 1.604, 0.000], [-0.991, 0.000, 7.719]],
  "species": ["Sc", "Sc", "Sc", "Sc", "Sc", "Sc", "Cd", "Cd", "N", "N"],
  "frac_coords": [[0.051, 0.051, 0.219], [0.266, 0.266, 0.674], [0.407, 0.407, 0.443], [0.593, 0.593, 0.557], [0.734, 0.734, 0.326], [0.949, 0.949, 0.781], [0.353, 0.353, 0.060], [0.647, 0.647, 0.940], [0.163, 0.163, 0.438], [0.837, 0.837, 0.562]],
  "spacegroup": "No. 12",
  "volume_a3_per_atom": 19.26,
  "final_energy_ev_per_cell": -64.36,
  "total_magnetization_mub_per_fu": 0.01
}